The following is a DFT calculation (PBE) of a relaxed structure of LaNdInAu.

Properties
E_form: -632 meV/atom

a b c (Å): 3.7461 3.7461 8.0460
angles (deg): 90.00 90.00 90.00
Last column: nearest neighbours and their distance in Å.
Space group P4mm (No. 99)
Asymmetric unit:
La1 0.0000 0.0000 0.0000 (multiplicity 1)  4 Au 3.31, 4 In 3.44
Nd1 0.0000 0.0000 0.5357 (multiplicity 1)  4 Au 3.17, 4 In 3.39
In1 0.5000 0.5000 0.2731 (multiplicity 1)  4 Nd 3.39, 4 La 3.44, 4 In 3.75
Au1 0.5000 0.5000 0.7531 (multiplicity 1)  4 Nd 3.17, 4 La 3.31



The following is a DFT calculation (PBE) of a relaxed structure of Na2YPb.

Properties
E_form: -37 meV/atom

a b c (Å): 4.4952 4.4952 24.9278
angles (deg): 90.00 90.00 90.00
Last column: nearest neighbours and their distance in Å.
Space group I-42d (No. 122)
Asymmetric unit:
Na1 0.2286 0.2500 0.1250 (multiplicity 8)  4 Na 3.05-3.32
Y1 0.0000 0.0000 0.5000 (multiplicity 4)  4 Pb 3.18, 4 Na 3.53
Pb1 0.0000 0.0000 0.0000 (multiplicity 4)  4 Y 3.18, 4 Na 3.47



The following is a DFT calculation (PBE) of a relaxed structure of Zr2TaCl.

Properties
Formation energy (no corrections): 0.23 eV per formula unit

a b c (Å): 3.4038 3.4038 8.5373
angles (deg): 90.00 90.00 90.00
Last column: nearest neighbours and their distance in Å.
Space group P4mm (No. 99)
Asymmetric unit:
Zr1 0.0000 0.0000 0.0000 (multiplicity 1)  4 Ta 2.83, 4 Zr 3.04
Zr2 0.5000 0.5000 0.2179 (multiplicity 1)  4 Cl 2.84, 4 Zr 3.04
Ta1 0.5000 0.5000 0.8263 (multiplicity 1)  4 Zr 2.83
Cl1 0.0000 0.0000 0.3952 (multiplicity 1)  4 Zr 2.84



The following is a DFT calculation (PBE) of a relaxed structure of BaZr2Br.

Properties
Formation energy (no corrections): 1.65 eV per formula unit

a b c (Å): 3.4194 5.9588 6.4725
angles (deg): 90.00 90.00 90.00
Last column: nearest neighbours and their distance in Å.
Space group Pmmm (No. 47)
Asymmetric unit:
Ba1 0.0000 0.0000 0.0000 (multiplicity 1)  2 Br 2.98
Zr1 0.5000 0.2297 0.5000 (multiplicity 2)  1 Zr 2.74
Br1 0.0000 0.5000 0.0000 (multiplicity 1)  2 Ba 2.98



The following is a DFT calculation (PBE) of a relaxed structure of TbNd2YEr2.

Properties
E_form: 136 meV/atom

a b c (Å): 6.5150 6.8273 8.9681
angles (deg): 89.32 82.32 89.99
Last column: nearest neighbours and their distance in Å.
Space group P-1 (No. 2)
Asymmetric unit:
Tb1 0.0656 0.2503 0.0271 (multiplicity 2)  3 Nd 3.25-3.59, 1 Y 3.38, 2 Er 3.43-3.46, 2 Tb 3.56-3.58
Nd1 0.3275 0.7448 0.6519 (multiplicity 2)  3 Y 3.42-3.50, 1 Nd 3.49, 6 Er 3.52-3.74, 1 Tb 3.59
Nd2 0.4181 0.7505 0.0272 (multiplicity 2)  2 Tb 3.25-3.33, 2 Er 3.46-3.49, 3 Nd 3.49-3.60, 1 Y 3.51
Y1 0.2991 0.2446 0.6665 (multiplicity 2)  1 Tb 3.38, 4 Nd 3.42-3.51, 5 Er 3.54-3.76
Er1 0.1819 0.4962 0.3403 (multiplicity 2)  3 Er 3.36-3.47, 1 Tb 3.46, 4 Nd 3.46-3.70, 2 Y 3.55-3.61
Er2 0.1845 0.0038 0.3403 (multiplicity 2)  3 Er 3.36-3.48, 1 Tb 3.43, 4 Nd 3.49-3.74, 3 Y 3.54-3.76



The following is a DFT calculation (PBE) of a relaxed structure of Nd3Sm8In2.

Properties
E_form: 46 meV/atom

a b c (Å): 14.3339 9.4374 6.6478
angles (deg): 90.00 99.05 90.00
Last column: nearest neighbours and their distance in Å.
Space group C2/m (No. 12)
Asymmetric unit:
Nd1 0.0000 0.0000 0.0000 (multiplicity 2)  2 In 3.26, 6 Sm 3.45-3.55
Nd2 0.0000 0.1696 0.5000 (multiplicity 4)  1 Nd 3.20, 4 Sm 3.48-3.50
Sm1 0.0851 0.5000 0.3747 (multiplicity 4)  4 Sm 3.16-3.46, 2 Nd 3.50, 1 In 3.54
Sm2 0.1234 0.3201 0.9412 (multiplicity 8)  2 In 3.27-3.35, 2 Sm 3.40-3.46, 2 Nd 3.48-3.55
Sm3 0.2076 0.0000 0.3432 (multiplicity 4)  2 In 3.17-3.48, 1 Sm 3.26, 1 Nd 3.45
In1 0.1983 0.0000 0.8172 (multiplicity 4)  7 Sm 3.17-3.54, 1 Nd 3.26